A plane-wave DFT calculation with GGA-PBE was carried out for a relaxed structure of NaNpAgS3.

```
data_NaNpAgS3
_symmetry_space_group_name_H-M 'C m c m'
_symmetry_Int_Tables_number 63
_symmetry_space_group_name_Hall '-C 2c 2'
_cell_length_a 4.048
_cell_length_b 12.900
_cell_length_c 10.451
_cell_angle_alpha 90.00
_cell_angle_beta 90.00
_cell_angle_gamma 90.00
loop_
_atom_site_label
_atom_site_type_symbol
_atom_site_fract_x
_atom_site_fract_y
_atom_site_fract_z
Na1 Na 0.000 0.240 0.250
Np1 Np 0.000 0.500 0.000
Ag1 Ag 0.000 0.047 0.750
S1 S 0.000 0.134 0.542
S2 S 0.000 0.425 0.750
```

Output
**Final energy**: -5.886 eV per atom
**Calculated density**: 5.6 Mg/m³



A plane-wave DFT calculation with GGA-PBE was carried out for a relaxed structure of NaNpAgTe3.

```
data_NaNpAgTe3
_symmetry_space_group_name_H-M 'C m c m'
_symmetry_Int_Tables_number 63
_symmetry_space_group_name_Hall '-C 2c 2'
_cell_length_a 4.376
_cell_length_b 14.558
_cell_length_c 11.331
_cell_angle_alpha 90.00
_cell_angle_beta 90.00
_cell_angle_gamma 90.00
loop_
_atom_site_label
_atom_site_type_symbol
_atom_site_fract_x
_atom_site_fract_y
_atom_site_fract_z
Na1 Na 0.000 0.232 0.250
Np1 Np 0.000 0.000 0.000
Ag1 Ag 0.000 0.469 0.750
Te1 Te 0.000 0.090 0.750
Te2 Te 0.000 0.358 0.552
```

Output
**Final energy**: -5.011 eV per atom
**Calculated density**: 6.9 Mg/m³